Record 1
Computed, not measured: crystalline RbCoRu at its relaxed geometry at the PBE level of DFT.

Calculated values
The excess energy over the best structure of this formula in the dataset is 409.5 meV/atom. The total DFT energy (no corrections) is -4.74 eV/atom. As for the crystal system: orthorhombic. The formation energy is 1.04 eV per atom.

Unit cell a=10.685 b=3.975 c=8.457 alpha=90.00 beta=90.00 gamma=90.00
Positions (direct):
Ru1 0.458 0.250 0.367
Ru2 0.042 0.750 0.867
Ru3 0.542 0.750 0.633
Ru4 0.958 0.250 0.133
Co1 0.946 0.250 0.867
Co2 0.554 0.750 0.367
Co3 0.054 0.750 0.133
Co4 0.446 0.250 0.633
Rb1 0.804 0.250 0.503
Rb2 0.696 0.750 0.003
Rb3 0.196 0.750 0.497
Rb4 0.304 0.250 0.997



Record 2
Computed, not measured: crystalline Zn2FeCl6 at its relaxed geometry at the PBE level of DFT.

Calculated values
The total DFT energy (no corrections) is -3.43 eV/atom. As for the crystal system: monoclinic.

Unit cell a=6.293 b=9.780 c=9.780 alpha=90.38 beta=71.66 gamma=71.66
Positions (direct):
Zn1 0.105 0.667 0.823
Zn2 0.395 0.177 0.333
Zn3 0.895 0.333 0.177
Zn4 0.605 0.823 0.667
Fe1 0.250 0.243 0.757
Fe2 0.750 0.757 0.243
Cl1 0.246 0.815 0.662
Cl2 0.254 0.338 0.185
Cl3 0.754 0.185 0.338
Cl4 0.746 0.662 0.815
Cl5 0.880 0.763 0.437
Cl6 0.620 0.563 0.237
Cl7 0.120 0.237 0.563
Cl8 0.380 0.437 0.763
Cl9 0.076 0.754 0.050
Cl10 0.424 0.950 0.246
Cl11 0.924 0.246 0.950
Cl12 0.576 0.050 0.754



Q: Which of these has the lowest total DFT energy (no corrections)?
A: RbCoRu



Repeat the first record exactly.
Computed, not measured: crystalline RbCoRu at its relaxed geometry at the PBE level of DFT.

Calculated values
The excess energy over the best structure of this formula in the dataset is 409.5 meV/atom. The total DFT energy (no corrections) is -4.74 eV/atom. As for the crystal system: orthorhombic. The formation energy is 1.04 eV per atom.

Unit cell a=10.685 b=3.975 c=8.457 alpha=90.00 beta=90.00 gamma=90.00
Positions (direct):
Ru1 0.458 0.250 0.367
Ru2 0.042 0.750 0.867
Ru3 0.542 0.750 0.633
Ru4 0.958 0.250 0.133
Co1 0.946 0.250 0.867
Co2 0.554 0.750 0.367
Co3 0.054 0.750 0.133
Co4 0.446 0.250 0.633
Rb1 0.804 0.250 0.503
Rb2 0.696 0.750 0.003
Rb3 0.196 0.750 0.497
Rb4 0.304 0.250 0.997



Repeat the first record exactly.
Computed, not measured: crystalline RbCoRu at its relaxed geometry at the PBE level of DFT.

Calculated values
The excess energy over the best structure of this formula in the dataset is 409.5 meV/atom. The total DFT energy (no corrections) is -4.74 eV/atom. As for the crystal system: orthorhombic. The formation energy is 1.04 eV per atom.

Unit cell a=10.685 b=3.975 c=8.457 alpha=90.00 beta=90.00 gamma=90.00
Positions (direct):
Ru1 0.458 0.250 0.367
Ru2 0.042 0.750 0.867
Ru3 0.542 0.750 0.633
Ru4 0.958 0.250 0.133
Co1 0.946 0.250 0.867
Co2 0.554 0.750 0.367
Co3 0.054 0.750 0.133
Co4 0.446 0.250 0.633
Rb1 0.804 0.250 0.503
Rb2 0.696 0.750 0.003
Rb3 0.196 0.750 0.497
Rb4 0.304 0.250 0.997



Q: What is the total DFT energy (no corrections) in the second record?
A: -3.43 eV/atom